(1)
VASP calculation (PBE-GGA) on a relaxed EuSnAs crystal.

Summary:
The value obtained for the energy of formation is -597 meV per atom. For the density of states at the Fermi level, the calculation gives 6.7 states/eV/cell.

The structure in POSCAR format:
```
EuSnAs
1.0
4.8359 0.0000 0.0000
-2.4179 4.1880 0.0000
0.0000 0.0000 4.1316
Eu Sn As
1 1 1
Direct
0.0000 0.0000 0.0000
0.3333 0.6667 0.5000
0.6667 0.3333 0.5000
```

***

(2)
VASP calculation (PBE-GGA) on a relaxed TaNi2W crystal.

Summary:
The value obtained for the energy of formation is 90 meV per atom. For the density of states at the Fermi level, the calculation gives 6.2 states/eV/cell.

The structure in POSCAR format:
```
TaNi2W
1.0
-1.8579 1.8579 4.0811
1.8579 -1.8579 4.0811
1.8579 1.8579 -4.0811
Ta Ni W
1 2 1
Direct
0.0000 0.0000 0.0000
0.5000 0.5000 0.0000
0.7500 0.2500 0.5000
0.2500 0.7500 0.5000
```

***

(3)
VASP calculation (PBE-GGA) on a relaxed Ga2NiRu crystal.

Summary:
The value obtained for the energy of formation is -334 meV per atom. For the density of states at the Fermi level, the calculation gives 3.2 states/eV/cell.

The structure in POSCAR format:
```
Ga2NiRu
1.0
0.0000 2.9771 2.9771
2.9771 0.0000 2.9771
2.9771 2.9771 0.0000
Ga Ni Ru
2 1 1
Direct
0.2500 0.2500 0.2500
0.7500 0.7500 0.7500
0.0000 0.0000 0.0000
0.5000 0.5000 0.5000
```

***

(4)
VASP calculation (PBE-GGA) on a relaxed Cs4KPu3Br12 crystal.

Summary:
The raw formation energy is -1652 meV/atom. For the density of states at the Fermi level, the calculation gives 49.9 states/eV/cell.

The structure in POSCAR format:
```
Cs4KPu3Br12
1.0
-5.9678 5.9678 5.9678
5.9678 -5.9678 5.9678
5.9678 5.9678 -5.9678
Cs K Pu Br
4 1 3 12
Direct
0.0000 0.0000 0.5000
0.0000 0.5000 0.0000
0.5000 0.0000 0.0000
0.5000 0.5000 0.5000
0.0000 0.0000 0.0000
0.0000 0.5000 0.5000
0.5000 0.0000 0.5000
0.5000 0.5000 0.0000
0.0000 0.2598 0.2598
0.0000 0.7402 0.7402
0.2500 0.5000 0.7500
0.2500 0.7500 0.5000
0.2598 0.0000 0.2598
0.2598 0.2598 0.0000
0.5000 0.2500 0.7500
0.5000 0.7500 0.2500
0.7402 0.0000 0.7402
0.7402 0.7402 0.0000
0.7500 0.2500 0.5000
0.7500 0.5000 0.2500
```

***

(5)
VASP calculation (PBE-GGA) on a relaxed CdSbPd2Pt crystal.

Summary:
The raw formation energy is 764 meV/atom. For the density of states at the Fermi level, the calculation gives 2.4 states/eV/cell.

The structure in POSCAR format:
```
CdSbPd2Pt
1.0
4.9046 0.0000 0.0000
0.0000 4.9046 0.0000
0.0000 0.0000 4.9716
Cd Sb Pd Pt
1 1 2 1
Direct
0.0000 0.0000 0.0000
0.5000 0.5000 0.5000
0.0000 0.5000 0.0000
0.5000 0.0000 0.0000
0.0000 0.0000 0.5000
```

***

(6)
VASP calculation (PBE-GGA) on a relaxed YNi4Ru crystal.

Summary:
The value obtained for the energy of formation is -109 meV per atom. For the density of states at the Fermi level, the calculation gives 7.9 states/eV/cell.

The structure in POSCAR format:
```
YNi4Ru
1.0
0.0000 3.4571 3.4571
3.4571 0.0000 3.4571
3.4571 3.4571 0.0000
Y Ni Ru
1 4 1
Direct
0.0000 0.0000 0.0000
0.1277 0.6241 0.6241
0.6241 0.1277 0.6241
0.6241 0.6241 0.1277
0.6241 0.6241 0.6241
0.2500 0.2500 0.2500
```

***

(7)
VASP calculation (PBE-GGA) on a relaxed LiLaPF crystal.

Summary:
The raw formation energy is -2161 meV/atom.

The structure in POSCAR format:
```
LiLaPF
1.0
3.9662 0.0000 0.0000
0.0000 3.9662 0.0000
0.0000 0.0000 8.9761
Li La P F
2 2 2 2
Direct
0.2500 0.7500 0.0000
0.7500 0.2500 0.0000
0.2500 0.2500 0.3168
0.7500 0.7500 0.6832
0.2500 0.2500 0.8220
0.7500 0.7500 0.1780
0.2500 0.7500 0.5000
0.7500 0.2500 0.5000
```

***

(8)
VASP calculation (PBE-GGA) on a relaxed LiSnF6 crystal.

Summary:
The raw formation energy is -2204 meV/atom. For the density of states at the Fermi level, the calculation gives 11.1 states/eV/cell. The energy above the most stable polymorph in this dataset comes out at 0.000 eV per formula unit.

The structure in POSCAR format:
```
LiSnF6
1.0
2.5638 1.4802 4.8508
-2.5638 1.4802 4.8508
0.0000 -2.9604 4.8508
Li Sn F
1 1 6
Direct
0.0000 0.0000 0.0000
0.5000 0.5000 0.5000
0.1268 0.3768 0.7520
0.2480 0.8732 0.6232
0.3768 0.7520 0.1268
0.6232 0.2480 0.8732
0.7520 0.1268 0.3768
0.8732 0.6232 0.2480
```

***

(9)
VASP calculation (PBE-GGA) on a relaxed Rb2MgOsBr6 crystal.

Summary:
The raw formation energy is -893 meV/atom. For the density of states at the Fermi level, the calculation gives 4.6 states/eV/cell.

The structure in POSCAR format:
```
Rb2MgOsBr6
1.0
0.0000 5.2839 5.2839
5.2839 0.0000 5.2839
5.2839 5.2839 0.0000
Rb Mg Os Br
2 1 1 6
Direct
0.2500 0.2500 0.2500
0.7500 0.7500 0.7500
0.0000 0.0000 0.0000
0.5000 0.5000 0.5000
0.2564 0.2564 0.7436
0.2564 0.7436 0.2564
0.2564 0.7436 0.7436
0.7436 0.2564 0.2564
0.7436 0.2564 0.7436
0.7436 0.7436 0.2564
```

***

(10)
VASP calculation (PBE-GGA) on a relaxed KLiTc2Au crystal.

Summary:
The value obtained for the energy of formation is 1552 meV per atom. For the density of states at the Fermi level, the calculation gives 3.6 states/eV/cell.

The structure in POSCAR format:
```
KLiTc2Au
1.0
4.5033 0.0000 0.0000
0.0000 4.5033 0.0000
0.0000 0.0000 4.8836
K Li Tc Au
1 1 2 1
Direct
0.0000 0.0000 0.0000
0.0000 0.0000 0.5000
0.0000 0.5000 0.5000
0.5000 0.0000 0.5000
0.5000 0.5000 0.0000
```

***

(11)
VASP calculation (PBE-GGA) on a relaxed TaCd crystal.

Summary:
The value obtained for the energy of formation is 714 meV per atom. For the density of states at the Fermi level, the calculation gives 6.8 states/eV/cell.

The structure in POSCAR format:
```
TaCd
1.0
5.3962 0.0000 0.0000
0.0000 5.3962 0.0000
0.0000 0.0000 5.3962
Ta Cd
4 4
Direct
0.0965 0.0965 0.0965
0.4035 0.9035 0.5965
0.5965 0.4035 0.9035
0.9035 0.5965 0.4035
0.0960 0.5960 0.9040
0.4040 0.4040 0.4040
0.5960 0.9040 0.0960
0.9040 0.0960 0.5960
```

***

(12)
VASP calculation (PBE-GGA) on a relaxed AlSn2Pb crystal.

Summary:
The value obtained for the energy of formation is 212 meV per atom. For the density of states at the Fermi level, the calculation gives 4.3 states/eV/cell. The energy above the most stable polymorph in this dataset comes out at 0.389 eV per formula unit.

The structure in POSCAR format:
```
AlSn2Pb
1.0
-3.1879 3.1879 6.8499
3.1879 -3.1879 6.8499
3.1879 3.1879 -6.8499
Al Sn Pb
2 4 2
Direct
0.0000 0.0000 0.0000
0.7500 0.2500 0.5000
0.0902 0.6250 0.9652
0.3750 0.3402 0.4652
0.6598 0.1250 0.0348
0.8750 0.9098 0.5348
0.2500 0.7500 0.5000
0.5000 0.5000 0.0000
```